A plane-wave DFT calculation with GGA-PBE was carried out for a relaxed La3Ta crystal.

- DOS at the Fermi energy: 6.81 states/eV per cell
- Magnetic moment: 0.0 μB/f.u.
- Electronic total energy: -24.737 eV for the cell shown
- Energy of formation from the pure elements: 0.474 eV per atom
- Space-group type: Cmmm (65)

Cell and atoms, written as POSCAR:
```
La3Ta
1.0
3.4077 -5.0680 0.0000
3.4077 5.0680 0.0000
0.0000 0.0000 3.3913
La Ta
3 1
direct
0.0000 0.0000 0.0000 La
0.0000 0.5000 0.5000 La
0.5000 0.0000 0.5000 La
0.5000 0.5000 0.0000 Ta
```